(1)
A plane-wave DFT calculation with GGA-PBEsol was carried out for AlSiNi after structural relaxation.

Values from the calculation:
Formation energy without anion corrections = -0.4678 eV per atom
Crystal system = hexagonal

a b c (Å): 6.317 6.317 6.593
angles (deg): 90.00 90.00 120.00
Positions (direct):
1 Al 0.019 0.623 0.250
2 Al 0.377 0.396 0.250
3 Al 0.396 0.377 0.750
4 Al 0.604 0.981 0.250
5 Al 0.623 0.019 0.750
6 Al 0.981 0.604 0.750
7 Si 0.000 0.265 0.000
8 Si 0.000 0.265 0.500
9 Si 0.265 0.000 0.000
10 Si 0.265 0.000 0.500
11 Si 0.735 0.735 0.000
12 Si 0.735 0.735 0.500
13 Ni 0.000 0.000 0.250
14 Ni 0.000 0.000 0.750
15 Ni 0.333 0.667 0.523
16 Ni 0.333 0.667 0.977
17 Ni 0.667 0.333 0.023
18 Ni 0.667 0.333 0.477

(2)
A plane-wave DFT calculation with GGA-PBEsol was carried out for Al2SiNi3 after structural relaxation.

Values from the calculation:
Formation energy without anion corrections = -0.5656 eV per atom
Crystal system = orthorhombic

a b c (Å): 6.002 6.002 3.634
angles (deg): 90.00 90.00 148.35
Positions (direct):
1 Al 0.162 0.838 0.000
2 Al 0.838 0.162 0.000
3 Si 0.000 0.000 0.500
4 Ni 0.339 0.661 0.500
5 Ni 0.500 0.500 0.000
6 Ni 0.661 0.339 0.500

(3)
A plane-wave DFT calculation with GGA-PBEsol was carried out for AlSiNi2 after structural relaxation.

Values from the calculation:
Formation energy without anion corrections = -0.5531 eV per atom
Crystal system = orthorhombic

a b c (Å): 5.328 5.328 6.475
angles (deg): 90.00 90.00 149.29
Positions (direct):
1 Al 0.024 0.976 0.750
2 Al 0.976 0.024 0.250
3 Si 0.247 0.753 0.250
4 Si 0.753 0.247 0.750
5 Ni 0.371 0.629 0.542
6 Ni 0.371 0.629 0.958
7 Ni 0.629 0.371 0.042
8 Ni 0.629 0.371 0.458

(4)
A plane-wave DFT calculation with GGA-PBEsol was carried out for AlSiNi2 after structural relaxation.

Values from the calculation:
Formation energy without anion corrections = -0.5791 eV per atom
Crystal system = orthorhombic

a b c (Å): 5.403 6.481 5.409
angles (deg): 90.00 90.00 90.00
Positions (direct):
1 Al 0.026 0.250 0.199
2 Al 0.474 0.750 0.699
3 Al 0.526 0.250 0.301
4 Al 0.974 0.750 0.801
5 Si 0.106 0.750 0.343
6 Si 0.394 0.250 0.843
7 Si 0.606 0.750 0.157
8 Si 0.894 0.250 0.657
9 Ni 0.231 0.048 0.541
10 Ni 0.231 0.452 0.541
11 Ni 0.269 0.548 0.041
12 Ni 0.269 0.952 0.041
13 Ni 0.731 0.048 0.959
14 Ni 0.731 0.452 0.959
15 Ni 0.769 0.548 0.459
16 Ni 0.769 0.952 0.459

(5)
A plane-wave DFT calculation with GGA-PBEsol was carried out for AlSiNi2 after structural relaxation.

Values from the calculation:
Formation energy without anion corrections = -0.5795 eV per atom
Crystal system = trigonal

a b c (Å): 3.856 3.856 7.480
angles (deg): 90.00 90.00 120.00
Positions (direct):
1 Al 0.333 0.667 0.404
2 Al 0.667 0.333 0.596
3 Si 0.000 0.000 0.173
4 Si 0.000 0.000 0.827
5 Ni 0.333 0.667 0.082
6 Ni 0.333 0.667 0.733
7 Ni 0.667 0.333 0.267
8 Ni 0.667 0.333 0.918

(6)
A plane-wave DFT calculation with GGA-PBEsol was carried out for AlSiNi after structural relaxation.

Values from the calculation:
Formation energy without anion corrections = 0.0560 eV per atom
Crystal system = hexagonal

a b c (Å): 4.254 4.254 5.071
angles (deg): 90.00 90.00 120.00
Positions (direct):
1 Al 0.333 0.667 0.250
2 Al 0.667 0.333 0.750
3 Si 0.333 0.667 0.750
4 Si 0.667 0.333 0.250
5 Ni 0.000 0.000 0.000
6 Ni 0.000 0.000 0.500

(7)
A plane-wave DFT calculation with GGA-PBEsol was carried out for Al2SiNi2 after structural relaxation.

Values from the calculation:
Formation energy without anion corrections = -0.0531 eV per atom
Crystal system = tetragonal

a b c (Å): 6.043 6.043 6.043
angles (deg): 145.95 145.95 48.93
Positions (direct):
1 Al 0.250 0.750 0.500
2 Al 0.750 0.250 0.500
3 Si 0.000 0.000 0.000
4 Ni 0.396 0.396 0.000
5 Ni 0.604 0.604 0.000

(8)
A plane-wave DFT calculation with GGA-PBEsol was carried out for AlSiNi2 after structural relaxation.

Values from the calculation:
Formation energy without anion corrections = -0.5450 eV per atom
Crystal system = tetragonal

a b c (Å): 4.500 4.500 4.500
angles (deg): 134.79 134.79 65.86
Positions (direct):
1 Al 0.000 0.000 0.000
2 Si 0.250 0.750 0.500
3 Ni 0.500 0.500 0.000
4 Ni 0.750 0.250 0.500

no.,total DFT energy (no corrections) (eV/atom)
1,-5.80
2,-5.97
3,-6.09
4,-6.12
5,-6.12
6,-5.28
7,-5.30
8,-6.08